First-principles (PBE) data for an optimized crystal structure of ReTc2Pt, as listed in the Alexandria database.

## Properties
D(E_F): 3.6 states/eV/f.u.
SG: No. 25
energy relative to the elements: -0.068 eV per atom
energy relative to the lowest polymorph listed for this composition: 3.5 kJ/mol of atoms
magnetic moment: 0.00 μB per cell
total DFT energy (no corrections): -9.87 eV per atom

abc: 2.745 3.928 5.533
angles: 90.00 90.00 90.00
Positions (direct):
1 Re 0.000 0.000 0.000
2 Tc 0.000 0.000 0.460
3 Tc 0.500 0.500 0.234
4 Pt 0.500 0.500 0.732